# CaRuPt2 | Alexandria via LeMat-Bulk | PBEsol | relaxed
data_CaRuPt2
_chemical_formula_sum 'Ca1 Ru1 Pt2'
_space_group_name_H-M_alt 'P 1'
_space_group_IT_number 1
_cell_length_a 2.7878
_cell_length_b 4.8950
_cell_length_c 4.8950
_cell_angle_alpha 108.83
_cell_angle_beta 90.00
_cell_angle_gamma 90.00
loop_
_space_group_symop_operation_xyz
'x,y,z'
loop_
_atom_site_label
_atom_site_type_symbol
_atom_site_fract_x
_atom_site_fract_y
_atom_site_fract_z
_atom_site_occupancy
Pt1 Pt 0.0000 0.5000 0.0000 1
Pt2 Pt 0.0000 0.0000 0.5000 1
Ca1 Ca 0.5000 0.5000 0.5000 1
Ru1 Ru 0.5000 0.0000 0.0000 1
# Space group: Cmmm
# ΔH_f (0 K) in eV/atom: -0.22
# Energy above the lowest structure with this stoichiometry in meV/atom: 0
# Crystal system: orthorhombic